! GGA-PBE GePdRh, relaxed; values from VASP
&SYSTEM
  ibrav = 0, nat = 9, ntyp = 3
/
ATOMIC_SPECIES
Ge 72.64 Ge.upf
Rh 102.91 Rh.upf
Pd 106.42 Pd.upf
ATOMIC_POSITIONS angstrom
Ge 0.000 3.737 0.000
Rh 0.000 4.152 2.397
Pd 1.879 0.000 3.865
Pd 1.879 2.258 1.304
Rh 0.000 1.453 -0.839
Pd 1.879 3.347 -1.932
Rh 0.000 5.605 -1.558
Ge 1.879 5.605 -3.236
Ge 0.000 1.868 3.236
CELL_PARAMETERS angstrom
3.757 0.000 0.000
0.000 5.605 -3.236
0.000 0.000 6.472
! Fermi-level density of states ... 4.2 states/eV/cell
! M_tot ... 0.0000 μB per atom
! E_form ... -0.47 eV/atom


! GGA-PBE La2Ni12Ge3Pd, relaxed; values from VASP
&SYSTEM
  ibrav = 0, nat = 18, ntyp = 4
/
ATOMIC_SPECIES
Ni 58.69 Ni.upf
La 138.91 La.upf
Ge 72.64 Ge.upf
Pd 106.42 Pd.upf
ATOMIC_POSITIONS angstrom
Ni 2.841 1.653 3.834
Ni 4.840 5.329 3.780
Ni 4.764 2.773 4.657
Ni 4.764 5.312 1.078
La 3.405 1.982 1.406
Ge 0.921 0.536 3.022
La 6.460 3.760 2.667
Ge 3.089 -0.695 -0.493
Ni 2.893 4.222 2.995
Ge 0.921 3.029 -0.493
Ni 7.024 1.577 3.780
Ni 6.971 1.519 1.078
Ni 5.100 2.969 -0.584
Ni 5.100 0.430 2.995
Pd 0.000 0.000 0.000
Ni 2.841 4.165 0.293
Ni 7.024 4.088 0.239
Ni 5.024 0.413 0.293
CELL_PARAMETERS angstrom
6.178 -1.390 -0.986
1.843 6.059 -0.986
1.843 1.073 6.044
! Fermi-level density of states ... 11.7 states/eV/cell
! M_tot ... 0.0000 μB per atom
! E_form ... -0.02 eV/atom


! GGA-PBE Li4GaPt, relaxed; values from VASP
&SYSTEM
  ibrav = 0, nat = 6, ntyp = 3
/
ATOMIC_SPECIES
Li 6.94 Li.upf
Ga 69.72 Ga.upf
Pt 195.08 Pt.upf
ATOMIC_POSITIONS angstrom
Li -1.982 -0.242 5.207
Li -3.891 -0.972 3.875
Ga -1.459 -0.687 2.467
Li -2.139 -2.561 4.468
Pt 0.000 0.000 0.000
Li -3.657 -1.723 6.184
CELL_PARAMETERS angstrom
-3.303 -2.922 1.927
0.463 -1.482 4.555
-2.994 1.654 3.384
! Fermi-level density of states ... 1.2 states/eV/cell
! M_tot ... 0.0000 μB per atom
! Energy above the lowest structure with this stoichiometry ... 201 meV/atom
! E_form ... -0.26 eV/atom